1.
A plane-wave DFT calculation with PBEsol was carried out for crystalline InGaCuAgSe4 at its relaxed geometry.

Calculated values
Formation energy from raw total energies, eV/atom: -0.411
Volume, A^3/atom: 24.184
E_tot, eV for the cell shown: -32.66
Space-group type: No. 82
Density of states at the Fermi level, states/eV per atom: 0.072

Lattice parameters (Å, degrees): 5.8389 5.8389 7.0179 114.58 114.58 90.00
Closest atoms and distances in Å follow each position.
Element x y z (fractional)
Se1 0.1212 0.6545 0.7513  1 Cu 2.39, 1 Ga 2.43, 1 Ag 2.60, 1 In 2.62
Ga1 0.2500 0.7500 0.5000  4 Se 2.43
Ag1 0.7500 0.2500 0.5000  4 Se 2.60
In1 0.5000 0.5000 0.0000  4 Se 2.62
Se2 0.6301 0.0968 0.7513  1 Cu 2.39, 1 Ga 2.43, 1 Ag 2.60, 1 In 2.62
Se3 0.9032 0.8788 0.2487  1 Cu 2.39, 1 Ga 2.43, 1 Ag 2.60, 1 In 2.62
Se4 0.3455 0.3699 0.2487  1 Cu 2.39, 1 Ga 2.43, 1 Ag 2.60, 1 In 2.62
Cu1 0.0000 0.0000 0.0000  4 Se 2.39


2.
A plane-wave DFT calculation with PBEsol was carried out for crystalline Sc2GaCuAg at its relaxed geometry.

Calculated values
ΔH_f (0 K), eV per formula unit: 0.51
Volume, A^3/atom: 20.759
E_tot, eV for the cell shown: -23.69
Space-group type: No. 123
Density of states at the Fermi level, states/eV per atom: 0.989

Lattice parameters (Å, degrees): 4.3450 4.8876 4.8876 90.00 90.00 90.00
Closest atoms and distances in Å follow each position.
Element x y z (fractional)
Ag1 0.5000 0.5000 0.5000  8 Sc 3.27, 4 Ga 3.46
Sc1 0.0000 0.0000 0.5000  2 Cu 2.44
Ga1 0.5000 0.0000 0.0000  2 Cu 2.17
Sc2 0.0000 0.5000 0.0000  2 Cu 2.44
Cu1 0.0000 0.0000 0.0000  2 Ga 2.17


3.
A plane-wave DFT calculation with PBEsol was carried out for crystalline CuAgGe2Mo at its relaxed geometry.

Calculated values
ΔH_f (0 K), eV per formula unit: 8.34
Volume, A^3/atom: 22.773
E_tot, eV for the cell shown: -20.95
Space-group type: No. 123
Density of states at the Fermi level, states/eV per atom: 0.784

Lattice parameters (Å, degrees): 4.6970 4.6970 5.1612 90.00 90.00 90.00
Closest atoms and distances in Å follow each position.
Element x y z (fractional)
Ge1 0.5000 0.0000 0.0000  2 Ag 2.35
Mo1 0.0000 0.0000 0.5000  2 Ag 2.58
Cu1 0.5000 0.5000 0.5000  4 Mo 3.32, 8 Ge 3.49
Ge2 0.0000 0.5000 0.0000  2 Ag 2.35
Ag1 0.0000 0.0000 0.0000  4 Ge 2.35, 2 Mo 2.58


4.
A plane-wave DFT calculation with PBEsol was carried out for crystalline CuAgGeSe3 at its relaxed geometry.

Calculated values
Formation energy from raw total energies, eV/atom: -0.183
Volume, A^3/atom: 22.903
E_tot, eV for the cell shown: -50.46
Space-group type: No. 9
Density of states at the Fermi level, states/eV per atom: 0.070

Lattice parameters (Å, degrees): 6.9588 6.9588 7.0307 100.50 100.50 119.92
Closest atoms and distances in Å follow each position.
Element x y z (fractional)
Cu1 0.8120 0.9785 0.1481  4 Se 2.36-2.41
Se1 0.9335 0.0778 0.5087  2 Cu 2.37, 1 Ge 2.38, 1 Ag 2.58
Cu2 0.9785 0.8120 0.6481  4 Se 2.36-2.41
Ag1 0.6393 0.1442 0.6354  4 Se 2.58-2.60
Se2 0.4503 0.5990 0.0027  1 Cu 2.41, 2 Ge 2.47-2.51, 1 Ag 2.59
Se3 0.2419 0.7435 0.5283  1 Ge 2.36, 1 Cu 2.36, 2 Ag 2.59-2.60
Ge1 0.2870 0.4557 0.6198  4 Se 2.36-2.51
Se4 0.7435 0.2419 0.0283  1 Ge 2.36, 1 Cu 2.36, 2 Ag 2.59-2.60
Ge2 0.4557 0.2870 0.1198  4 Se 2.36-2.51
Se5 0.5990 0.4503 0.5027  1 Cu 2.41, 2 Ge 2.47-2.51, 1 Ag 2.59
Se6 0.0778 0.9335 0.0087  2 Cu 2.37, 1 Ge 2.38, 1 Ag 2.58
Ag2 0.1442 0.6393 0.1354  4 Se 2.58-2.60


5.
A plane-wave DFT calculation with PBEsol was carried out for crystalline CuAg2HIr at its relaxed geometry.

Calculated values
Volume, A^3/atom: 23.306
E_tot, eV for the cell shown: -15.27
Space-group type: No. 123
Density of states at the Fermi level, states/eV per atom: 1.057

Lattice parameters (Å, degrees): 4.5774 5.0455 5.0455 90.00 90.00 90.00
Closest atoms and distances in Å follow each position.
Element x y z (fractional)
Ag1 0.0000 0.0000 0.5000  2 Ir 2.52
Ir1 0.0000 0.0000 0.0000  2 Cu 2.29, 4 Ag 2.52
Ag2 0.0000 0.5000 0.0000  2 Ir 2.52
H1 0.5000 0.5000 0.5000  8 Ag 3.41, 4 Cu 3.57
Cu1 0.5000 0.0000 0.0000  2 Ir 2.29


6.
A plane-wave DFT calculation with PBEsol was carried out for crystalline Cu2AgHS2O10 at its relaxed geometry.

Calculated values
Volume, A^3/atom: 11.027
E_tot, eV for the cell shown: -90.80
Space-group type: No. 12
Density of states at the Fermi level, states/eV per atom: 0.011

Lattice parameters (Å, degrees): 5.2017 5.2017 7.5703 100.62 105.34 110.30
Closest atoms and distances in Å follow each position.
Element x y z (fractional)
Cu1 0.0000 0.0000 0.5000  4 O 1.82-1.92
Cu2 0.5000 0.5000 0.5000  4 O 1.82-1.92
Ag1 0.0000 0.0000 0.0000  6 O 2.46-2.56
S1 0.2101 0.5781 0.7881  4 O 1.45-1.53
H1 0.5000 0.0000 0.5000  2 O 1.19
O1 0.5069 0.3301 0.2551  1 S 1.53
O2 0.4931 0.6699 0.7449  1 S 1.53
O3 0.2845 0.7078 0.9923  1 S 1.45
O4 0.9250 0.7482 0.2551  1 S 1.53
O5 0.9966 0.3355 0.3321  1 S 1.47
S2 0.7899 0.4219 0.2119  4 O 1.45-1.53
O6 0.3927 0.1564 0.5492  1 H 1.19
O7 0.6073 0.8436 0.4508  1 H 1.19
O8 0.0034 0.6645 0.6679  1 S 1.47
O9 0.0750 0.2518 0.7449  1 S 1.53
O10 0.7155 0.2922 0.0077  1 S 1.45


7.
A plane-wave DFT calculation with PBEsol was carried out for crystalline Cu2AgHSe2O10 at its relaxed geometry.

Calculated values
Volume, A^3/atom: 11.492
E_tot, eV for the cell shown: -83.21
Space-group type: No. 12
Density of states at the Fermi level, states/eV per atom: 0.027

Lattice parameters (Å, degrees): 5.2901 5.2901 7.6700 99.03 106.68 110.88
Closest atoms and distances in Å follow each position.
Element x y z (fractional)
Cu1 0.5000 0.5000 0.5000  4 O 1.85-1.92
O1 0.7015 0.2794 0.9808  1 Se 1.63
Cu2 0.0000 0.0000 0.5000  4 O 1.85-1.92
O2 0.3951 0.1553 0.5504  1 H 1.22
O3 0.4657 0.3200 0.2515  1 Se 1.72, 1 Cu 1.92
H1 0.5000 0.0000 0.5000  2 O 1.22
Se1 0.2189 0.5756 0.7945  4 O 1.63-1.72
O4 0.9315 0.7858 0.2515  1 Se 1.72, 1 Cu 1.92
O5 0.0685 0.2142 0.7485  1 Se 1.72, 1 Cu 1.92
O6 0.2985 0.7206 0.0192  1 Se 1.63
O7 0.5343 0.6800 0.7485  1 Se 1.72, 1 Cu 1.92
Se2 0.7811 0.4244 0.2055  4 O 1.63-1.72
O8 0.9868 0.6661 0.6528  1 Se 1.65
Ag1 0.0000 0.0000 0.0000  6 O 2.44-2.51
O9 0.6049 0.8447 0.4496  1 H 1.22
O10 0.0132 0.3339 0.3472  1 Se 1.65


8.
A plane-wave DFT calculation with PBEsol was carried out for crystalline HfCu2Ag at its relaxed geometry.

Calculated values
ΔH_f (0 K), eV per formula unit: -0.31
Volume, A^3/atom: 14.772
E_tot, eV for the cell shown: -22.80
Space-group type: No. 225
Density of states at the Fermi level, states/eV per atom: 0.693

Lattice parameters (Å, degrees): 4.3719 4.3719 4.3719 60.00 60.00 60.00
Closest atoms and distances in Å follow each position.
Element x y z (fractional)
Cu1 0.7500 0.7500 0.7500  4 Ag 2.68, 4 Hf 2.68
Hf1 0.5000 0.5000 0.5000  8 Cu 2.68
Cu2 0.2500 0.2500 0.2500  4 Hf 2.68, 4 Ag 2.68
Ag1 0.0000 0.0000 0.0000  8 Cu 2.68


9.
A plane-wave DFT calculation with PBEsol was carried out for crystalline Hf2Cu2Ag at its relaxed geometry.

Calculated values
ΔH_f (0 K), eV per formula unit: -0.62
Volume, A^3/atom: 16.395
E_tot, eV for the cell shown: -67.21
Space-group type: No. 127
Density of states at the Fermi level, states/eV per atom: 0.881

Lattice parameters (Å, degrees): 3.4290 6.9147 6.9147 90.00 90.00 90.00
Closest atoms and distances in Å follow each position.
Element x y z (fractional)
Hf1 0.5000 0.8308 0.3308  6 Cu 2.63-2.68
Cu1 0.0000 0.6264 0.1264  1 Cu 2.47, 6 Hf 2.63-2.68, 2 Ag 2.73
Hf2 0.5000 0.6692 0.8308  6 Cu 2.63-2.68
Cu2 0.0000 0.3736 0.8736  1 Cu 2.47, 6 Hf 2.63-2.68, 2 Ag 2.73
Hf3 0.5000 0.3308 0.1692  6 Cu 2.63-2.68
Ag1 0.0000 0.0000 0.0000  4 Cu 2.73
Cu3 0.0000 0.8736 0.6264  1 Cu 2.47, 6 Hf 2.63-2.68, 2 Ag 2.73
Hf4 0.5000 0.1692 0.6692  6 Cu 2.63-2.68
Ag2 0.0000 0.5000 0.5000  4 Cu 2.73
Cu4 0.0000 0.1264 0.3736  1 Cu 2.47, 6 Hf 2.63-2.68, 2 Ag 2.73


10.
A plane-wave DFT calculation with PBEsol was carried out for crystalline HfNb2CuAg at its relaxed geometry.

Calculated values
ΔH_f (0 K), eV per formula unit: 8.05
Volume, A^3/atom: 21.883
E_tot, eV for the cell shown: -31.74
Space-group type: No. 123
Density of states at the Fermi level, states/eV per atom: 0.968

Lattice parameters (Å, degrees): 4.7245 4.8123 4.8123 90.00 90.00 90.00
Closest atoms and distances in Å follow each position.
Element x y z (fractional)
Cu1 0.5000 0.0000 0.0000  2 Hf 2.36
Nb1 0.0000 0.0000 0.5000  2 Hf 2.41
Hf1 0.0000 0.0000 0.0000  2 Cu 2.36, 4 Nb 2.41
Ag1 0.5000 0.5000 0.5000  8 Nb 3.37, 4 Cu 3.40
Nb2 0.0000 0.5000 0.0000  2 Hf 2.41


11.
A plane-wave DFT calculation with PBEsol was carried out for crystalline Hf2CuAgRu at its relaxed geometry.

Calculated values
ΔH_f (0 K), eV per formula unit: 3.02
Volume, A^3/atom: 21.408
E_tot, eV for the cell shown: -35.80
Space-group type: No. 123
Density of states at the Fermi level, states/eV per atom: 0.606

Lattice parameters (Å, degrees): 4.6573 4.7941 4.7941 90.00 90.00 90.00
Closest atoms and distances in Å follow each position.
Element x y z (fractional)
Hf1 0.0000 0.0000 0.5000  2 Ru 2.40
Ru1 0.0000 0.0000 0.0000  2 Cu 2.33, 4 Hf 2.40
Hf2 0.0000 0.5000 0.0000  2 Ru 2.40
Cu1 0.5000 0.0000 0.0000  2 Ru 2.33
Ag1 0.5000 0.5000 0.5000  8 Hf 3.34, 4 Cu 3.39


12.
A plane-wave DFT calculation with PBEsol was carried out for crystalline CuAg2Hg at its relaxed geometry.

Calculated values
ΔH_f (0 K), eV per formula unit: 0.38
Volume, A^3/atom: 16.409
E_tot, eV for the cell shown: -11.14
Space-group type: No. 8
Density of states at the Fermi level, states/eV per atom: 0.314

Lattice parameters (Å, degrees): 2.9715 4.8150 4.9703 104.03 107.39 90.00
Closest atoms and distances in Å follow each position.
Element x y z (fractional)
Ag1 0.7625 0.2520 0.5250  2 Cu 2.69, 5 Ag 2.81-2.97, 4 Hg 2.81-2.87
Ag2 0.0030 0.0126 0.0061  4 Cu 2.80-2.86, 5 Ag 2.81-2.97, 3 Hg 2.89-2.94
Hg1 0.2382 0.7324 0.4764  3 Cu 2.72-2.93, 7 Ag 2.81-2.94, 2 Hg 2.97
Cu1 0.4963 0.5030 0.9925  6 Ag 2.69-2.86, 3 Hg 2.72-2.93, 2 Cu 2.97